Record 1
DyPuInPd: optimized geometry, PBE.

The structure belongs to space group F-43m (No. 216); the cell edges are 7.3268, 7.3268 and 7.3268 Å and the angles 90.00°, 90.00° and 90.00°. The inequivalent atoms are Dy at (0.0000, 0.0000, 0.0000), Pu at (0.0000, 0.0000, 0.5000), In at (0.2500, 0.2500, 0.7500) and Pd at (0.2500, 0.2500, 0.2500).

Its crystal system is cubic. The calculation puts the uncorrected energy at -7.059 eV/atom.

Record 2
DyInPdRh: optimized geometry, PBE.

The structure belongs to space group F-43m (No. 216); the cell edges are 6.7226, 6.7226 and 6.7226 Å and the angles 90.00°, 90.00° and 90.00°. The inequivalent atoms are Dy at (0.0000, 0.0000, 0.0000), In at (0.0000, 0.0000, 0.5000), Pd at (0.2500, 0.2500, 0.7500) and Rh at (0.2500, 0.2500, 0.2500).

Its crystal system is cubic. The calculation puts the uncorrected energy at -5.731 eV/atom.

Record 3
DyInPdRu: optimized geometry, PBE.

The structure belongs to space group F-43m (No. 216); the cell edges are 6.6916, 6.6916 and 6.6916 Å and the angles 90.00°, 90.00° and 90.00°. The inequivalent atoms are Dy at (0.0000, 0.0000, 0.0000), In at (0.0000, 0.0000, 0.5000), Pd at (0.2500, 0.2500, 0.2500) and Ru at (0.2500, 0.2500, 0.7500).

Its crystal system is cubic. The calculation puts the uncorrected energy at -5.957 eV/atom.

Record 4
Dy3In3PdRu2: optimized geometry, PBE.

The structure belongs to space group P-62m (No. 189); the cell edges are 7.5646, 7.5646 and 3.9034 Å and the angles 90.00°, 90.00° and 120.00°. The inequivalent atoms are Dy at (0.0000, 0.4097, 0.0000), In at (0.0000, 0.7373, 0.5000), Pd at (0.0000, 0.0000, 0.0000) and Ru at (0.3333, 0.6667, 0.5000).

Its crystal system is hexagonal. The calculation puts the uncorrected energy at -5.605 eV/atom.

Record 5
DySc2InPd4: optimized geometry, PBE.

The structure belongs to space group R-3m (No. 166, hexagonal axes); the cell edges are 4.7469, 4.7469 and 23.2153 Å and the angles 90.00°, 90.00° and 120.00°. The inequivalent atoms are Dy at (0.0000, 0.0000, 0.0000), Sc at (0.0000, 0.0000, 0.2450), In at (0.0000, 0.0000, 0.5000), Pd at (0.0000, 0.0000, 0.1239) and Pd at (0.0000, 0.0000, 0.3758).

Its crystal system is trigonal. The calculation puts the uncorrected energy at -5.925 eV/atom.

Record 6
SmDyInPd: optimized geometry, PBE.

The structure belongs to space group F-43m (No. 216); the cell edges are 7.3732, 7.3732 and 7.3732 Å and the angles 90.00°, 90.00° and 90.00°. The inequivalent atoms are Sm at (0.0000, 0.0000, 0.0000), Dy at (0.0000, 0.0000, 0.5000), In at (0.2500, 0.2500, 0.7500) and Pd at (0.2500, 0.2500, 0.2500).

Its crystal system is cubic. The calculation puts the uncorrected energy at -4.889 eV/atom.

Record 7
TbDyInPd: optimized geometry, PBE.

The structure belongs to space group F-43m (No. 216); the cell edges are 7.3111, 7.3111 and 7.3111 Å and the angles 90.00°, 90.00° and 90.00°. The inequivalent atoms are Tb at (0.0000, 0.0000, 0.0000), Dy at (0.0000, 0.0000, 0.5000), In at (0.2500, 0.2500, 0.7500) and Pd at (0.2500, 0.2500, 0.2500).

Its crystal system is cubic. The calculation puts the uncorrected energy at -4.892 eV/atom.

Record 8
DyTlInPd: optimized geometry, PBE.

The structure belongs to space group F-43m (No. 216); the cell edges are 7.1303, 7.1303 and 7.1303 Å and the angles 90.00°, 90.00° and 90.00°. The inequivalent atoms are Dy at (0.0000, 0.0000, 0.0000), Tl at (0.2500, 0.2500, 0.7500), In at (0.0000, 0.0000, 0.5000) and Pd at (0.2500, 0.2500, 0.2500).

Its crystal system is cubic. The calculation puts the uncorrected energy at -4.149 eV/atom.

Record 9
DyTmIn2Pd4: optimized geometry, PBE.

The structure belongs to space group R-3m (No. 166, hexagonal axes); the cell edges are 4.7844, 4.7844 and 23.4674 Å and the angles 90.00°, 90.00° and 120.00°. The inequivalent atoms are Dy at (0.0000, 0.0000, 0.0000), Tm at (0.0000, 0.0000, 0.5000), In at (0.0000, 0.0000, 0.2499), Pd at (0.0000, 0.0000, 0.1264) and Pd at (0.0000, 0.0000, 0.3757).

Its crystal system is trigonal. The calculation puts the uncorrected energy at -5.246 eV/atom.

Record 10
DyTm2InPd4: optimized geometry, PBE.

The structure belongs to space group R-3m (No. 166, hexagonal axes); the cell edges are 4.8522, 4.8522 and 23.7760 Å and the angles 90.00°, 90.00° and 120.00°. The inequivalent atoms are Dy at (0.0000, 0.0000, 0.0000), Tm at (0.0000, 0.0000, 0.2454), In at (0.0000, 0.0000, 0.5000), Pd at (0.0000, 0.0000, 0.1229) and Pd at (0.0000, 0.0000, 0.3742).

Its crystal system is trigonal. The calculation puts the uncorrected energy at -5.496 eV/atom.

Record 11
DyZnInPd: optimized geometry, PBE.

The structure belongs to space group F-43m (No. 216); the cell edges are 6.8063, 6.8063 and 6.8063 Å and the angles 90.00°, 90.00° and 90.00°. The inequivalent atoms are Dy at (0.0000, 0.0000, 0.0000), Zn at (0.2500, 0.2500, 0.7500), In at (0.0000, 0.0000, 0.5000) and Pd at (0.2500, 0.2500, 0.2500).

Its crystal system is cubic. The calculation puts the uncorrected energy at -4.046 eV/atom.

Record 12
Pm2Dy2In: optimized geometry, PBE.

The structure belongs to space group I4/mmm (No. 139); the cell edges are 4.3761, 4.3761 and 17.4132 Å and the angles 90.00°, 90.00° and 90.00°. The inequivalent atoms are Pm at (0.0000, 0.5000, 0.2500), Dy at (0.0000, 0.0000, 0.0870) and In at (0.0000, 0.0000, 0.5000).

As for the relative energy among the computed polymorphs: 0.353 eV per atom. Its crystal system is tetragonal. The calculation puts the uncorrected energy at -3.981 eV/atom.